Below is a relaxed structure of PmVF6, with properties calculated at the PBE+U level.

**ρ**: 3.8 g cm⁻³
**DFT total energy**: -51.20 eV per cell

Cell lengths 5.5790, 5.6082, 5.9344 Å; angles 62.26, 62.03, 60.38 degrees
Last column: nearest neighbours and their distance in Å.
Atoms (fractional coordinates):
Pm1 0.0000 0.0000 0.0000  6 F 2.27
V1 0.5000 0.5000 0.5000  6 F 1.97-1.98
F1 0.1655 0.3717 0.7336  1 V 1.97
F2 0.2710 0.8322 0.2680  1 V 1.98
F3 0.3722 0.7305 0.7323  1 V 1.98
F4 0.6278 0.2695 0.2677  1 V 1.98
F5 0.7290 0.1678 0.7320  1 V 1.98
F6 0.8345 0.6283 0.2664  1 V 1.97